VASP calculation (PBE) on RbMg2TlF8 after structural relaxation.

The space group is P-1 (No. 2) and the conventional cell measures 5.285, 5.374 and 7.627 Å, with angles of 77.42, 78.04 and 77.44 degrees. The distinct sites, in fractional coordinates, are Rb at (0.000, 0.000, 0.000), Mg at (0.461, 0.458, 0.213), Tl at (0.000, 0.000, 0.500), F at (0.204, 0.730, 0.718), F at (0.245, 0.770, 0.293), F at (0.284, 0.248, 0.432) and F at (0.364, 0.332, 0.017).

The total energy is -4.58 eV per atom. The formation energy from raw total energies comes out at -2.789 eV per atom. The calculation puts the density of states at the Fermi level at 0.0 states/eV/f.u. As for the crystal system: triclinic. The calculation puts the spin magnetization at 0.007 μB/atom.